No. 1
Here is crystalline HPdPt at its relaxed geometry from Alexandria via LeMat-Bulk. Energies are from PBE.

Values from the calculation:
Calculated density = 14.085 g/cm³
DFT total energy = -14.33 eV for the cell shown
V = 36 Å³/cell
Magnetic moment = 0.000 μB/f.u.
Density of states at the Fermi level = 2.96 states/eV/f.u.

Cell: 3.0468 3.0468 4.4362 Å, 90.00 90.00 120.00°
With the nearest neighbours (Å) after each atom.
Space group P-6m2 (No. 187)
Inequivalent atoms, fractional coordinates:
H (0.0000, 0.0000, 0.0000) (multiplicity 1)  3 Pt 1.76
Pd (0.6667, 0.3333, 0.5000) (multiplicity 1)  6 H 2.83, 6 Pt 2.83, 6 Pd 3.05
Pt (0.3333, 0.6667, 0.0000) (multiplicity 1)  3 H 1.76

---

No. 2
Here is crystalline LaAl3Os at its relaxed geometry from Alexandria via LeMat-Bulk. Energies are from PBE.

Values from the calculation:
Calculated density = 6.564 g/cm³
Energy of formation = -0.447 eV per atom
V = 415 Å³/cell
Magnetic moment = 0.000 μB/f.u.
Density of states at the Fermi level = 1.27 states/eV/f.u.

Cell: 6.5151 6.5151 11.2878 Å, 90.00 90.00 120.00°
With the nearest neighbours (Å) after each atom.
Space group P6_3/mmc (No. 194)
Inequivalent atoms, fractional coordinates:
La (0.0000, 0.0000, 0.0000) (multiplicity 2)  12 Al 3.25-3.26
La (0.3333, 0.6667, 0.2500) (multiplicity 2)  12 Al 3.27-3.39
Al (0.0000, 0.5000, 0.0000) (multiplicity 6)  2 Os 2.36
Al (0.1425, 0.2850, 0.7500) (multiplicity 6)  2 Os 2.57, 2 Al 2.79
Os (0.3333, 0.6667, 0.6264) (multiplicity 4)  6 Al 2.36-2.57

---

No. 3
Here is crystalline V2GeH at its relaxed geometry from Alexandria via LeMat-Bulk. Energies are from PBE.

Values from the calculation:
Calculated density = 6.012 g/cm³
DFT total energy = -99.26 eV for the cell shown
V = 194 Å³/cell
Magnetic moment = 0.000 μB/f.u.
Density of states at the Fermi level = 4.15 states/eV/f.u.

Cell: 5.7881 5.7881 5.7881 Å, 90.00 90.00 90.00°
With the nearest neighbours (Å) after each atom.
Space group Fm-3m (No. 225)
Inequivalent atoms, fractional coordinates:
V (0.2500, 0.2500, 0.2500) (multiplicity 8)  4 Ge 2.51, 4 H 2.51
Ge (0.0000, 0.0000, 0.0000) (multiplicity 4)  8 V 2.51
H (0.0000, 0.0000, 0.5000) (multiplicity 4)  8 V 2.51

---

No. 4
Here is crystalline SrGe2 at its relaxed geometry from Alexandria via LeMat-Bulk. Energies are from PBE.

Values from the calculation:
Calculated density = 4.968 g/cm³
Energy of formation = -0.502 eV per atom
V = 78 Å³/cell
Magnetic moment = 0.000 μB/f.u.
Density of states at the Fermi level = 0.33 states/eV/f.u.

Cell: 4.1702 4.1702 5.1687 Å, 90.00 90.00 120.00°
With the nearest neighbours (Å) after each atom.
Space group P-3m1 (No. 164)
Inequivalent atoms, fractional coordinates:
Sr (0.0000, 0.0000, 0.0000) (multiplicity 1)  6 Ge 3.19
Ge (0.3333, 0.6667, 0.4041) (multiplicity 2)  3 Ge 2.60

---

No. 5
Here is crystalline Ac3Ho5O12 at its relaxed geometry from Alexandria via LeMat-Bulk. Energies are from PBE.

Values from the calculation:
Calculated density = 8.272 g/cm³
V = 2726 Å³/cell
Magnetic moment = 0.000 μB/f.u.
Density of states at the Fermi level = 0.00 states/eV/f.u.
Raw formation energy = -3.431 eV/atom

Cell: 13.9699 13.9699 13.9699 Å, 90.00 90.00 90.00°
With the nearest neighbours (Å) after each atom.
Space group Ia-3d (No. 230)
Inequivalent atoms, fractional coordinates:
Ac (0.0000, 0.2500, 0.1250) (multiplicity 24)  8 O 2.63-2.73
Ho (0.0000, 0.0000, 0.0000) (multiplicity 16)  6 O 2.29
Ho (0.0000, 0.2500, 0.3750) (multiplicity 24)  4 O 2.13
O (0.0247, 0.0579, 0.6511) (multiplicity 96)  2 Ho 2.13-2.29

---

No. 6
Here is crystalline BPb2Au at its relaxed geometry from Alexandria via LeMat-Bulk. Energies are from PBE.

Values from the calculation:
Calculated density = 9.959 g/cm³
Energy of formation = 0.647 eV per atom
V = 415 Å³/cell
Magnetic moment = 0.000 μB/f.u.
Density of states at the Fermi level = 1.22 states/eV/f.u.

Cell: 6.3844 6.3844 10.1806 Å, 90.00 90.00 90.00°
With the nearest neighbours (Å) after each atom.
Space group I-42d (No. 122)
Inequivalent atoms, fractional coordinates:
B (0.0000, 0.0000, 0.0000) (multiplicity 4)  4 Pb 2.36
Pb (0.1864, 0.2500, 0.1250) (multiplicity 8)  2 B 2.36
Au (0.0000, 0.0000, 0.5000) (multiplicity 4)  4 Pb 2.86

---

No. 7
Here is crystalline InPd4Pt7 at its relaxed geometry from Alexandria via LeMat-Bulk. Energies are from PBE.

Values from the calculation:
Calculated density = 16.589 g/cm³
Energy of formation = -0.113 eV per atom
V = 191 Å³/cell
Magnetic moment = 0.000 μB/f.u.
Density of states at the Fermi level = 22.75 states/eV/f.u.

Cell: 4.8684 5.6324 7.1429 Å, 91.29 102.99 90.10°
With the nearest neighbours (Å) after each atom.
Space group P-1 (No. 2)
Inequivalent atoms, fractional coordinates:
In (0.0000, 0.0000, 0.0000) (multiplicity 1)  2 Pd 2.80, 10 Pt 2.82-2.87
Pd (0.2232, 0.5010, 0.6685) (multiplicity 2)  4 Pd 2.80-2.86, 8 Pt 2.80-2.86
Pd (0.2782, 0.2523, 0.3317) (multiplicity 2)  8 Pt 2.79-2.85, 3 Pd 2.80-2.82, 1 In 2.80
Pt (0.0000, 0.5000, 0.0000) (multiplicity 1)  6 Pt 2.80-2.81, 2 In 2.82, 4 Pd 2.82-2.85
Pt (0.2278, 0.0013, 0.6633) (multiplicity 2)  6 Pt 2.78-2.91, 5 Pd 2.79-2.85, 1 In 2.87
Pt (0.2755, 0.7498, 0.3329) (multiplicity 2)  5 Pt 2.78-2.83, 6 Pd 2.80-2.86, 1 In 2.86
Pt (0.4984, 0.2526, 0.9960) (multiplicity 2)  7 Pt 2.79-2.91, 3 Pd 2.81-2.84, 2 In 2.82

---

No. 8
Here is crystalline K4LiPd3O8 at its relaxed geometry from Alexandria via LeMat-Bulk. Energies are from PBE.

Values from the calculation:
Calculated density = 4.721 g/cm³
V = 644 Å³/cell
Magnetic moment = 1.036 μB/f.u.
Density of states at the Fermi level = 3.23 states/eV/f.u.
Raw formation energy = -0.946 eV/atom

Cell: 6.5224 6.5224 17.4857 Å, 90.00 90.00 120.00°
With the nearest neighbours (Å) after each atom.
Space group R-3m (No. 166, hexagonal axes)
Inequivalent atoms, fractional coordinates:
K (0.0000, 0.0000, 0.0000) (multiplicity 3)  6 O 2.61
K (0.0000, 0.5000, 0.0000) (multiplicity 9)  6 O 2.67-2.72
Li (0.0000, 0.0000, 0.5000) (multiplicity 3)  6 O 2.22
Pd (0.0000, 0.5000, 0.5000) (multiplicity 9)  6 O 2.09-2.14
O (0.0000, 0.0000, 0.2247) (multiplicity 6)  3 Pd 2.14
O (0.0177, 0.5088, 0.7759) (multiplicity 18)  2 Pd 2.09, 1 Li 2.22

---

No. 9
Here is crystalline Pr14TmZr at its relaxed geometry from Alexandria via LeMat-Bulk. Energies are from PBE.

Values from the calculation:
Calculated density = 6.663 g/cm³
Energy of formation = 0.049 eV per atom
V = 557 Å³/cell
Magnetic moment = 0.000 μB/f.u.
Density of states at the Fermi level = 23.74 states/eV/f.u.

Cell: 7.3208 7.3208 10.3839 Å, 90.00 90.00 90.00°
With the nearest neighbours (Å) after each atom.
Space group P4/mmm (No. 123)
Inequivalent atoms, fractional coordinates:
Pr (0.0000, 0.0000, 0.0000) (multiplicity 1)  12 Pr 3.66-3.70
Pr (0.0000, 0.5000, 0.0000) (multiplicity 2)  12 Pr 3.66-3.73
Pr (0.0000, 0.5000, 0.5000) (multiplicity 2)  8 Pr 3.60, 2 Tm 3.66, 2 Zr 3.66
Pr (0.2455, 0.2455, 0.2584) (multiplicity 8)  1 Zr 3.57, 10 Pr 3.59-3.76, 1 Tm 3.64
Pr (0.5000, 0.5000, 0.0000) (multiplicity 1)  12 Pr 3.66-3.76
Tm (0.5000, 0.5000, 0.5000) (multiplicity 1)  12 Pr 3.64-3.66
Zr (0.0000, 0.0000, 0.5000) (multiplicity 1)  12 Pr 3.57-3.66

---

No. 10
Here is crystalline HgRhCl4 at its relaxed geometry from Alexandria via LeMat-Bulk. Energies are from PBE.

Values from the calculation:
Calculated density = 5.080 g/cm³
V = 582 Å³/cell
Magnetic moment = 4.577 μB/f.u.
Density of states at the Fermi level = 8.06 states/eV/f.u.
Raw formation energy = 0.877 eV/atom

Cell: 8.3501 8.3501 8.3501 Å, 90.00 90.00 90.00°
With the nearest neighbours (Å) after each atom.
Space group F-43m (No. 216)
Inequivalent atoms, fractional coordinates:
Hg (0.0000, 0.0000, 0.0000) (multiplicity 4)  12 Cl 3.46, 4 Rh 3.62
Rh (0.2500, 0.2500, 0.7500) (multiplicity 4)  12 Cl 3.46, 4 Hg 3.62
Cl (0.1240, 0.1240, 0.3760) (multiplicity 16)  6 Cl 2.93-2.98

---

No. 11
Here is crystalline Pm4Dy3Sc4 at its relaxed geometry from Alexandria via LeMat-Bulk. Energies are from PBE.

Values from the calculation:
Calculated density = 6.343 g/cm³
Energy of formation = 0.081 eV per atom
V = 653 Å³/cell
Magnetic moment = 0.000 μB/f.u.
Density of states at the Fermi level = 19.63 states/eV/f.u.

Cell: 3.4296 5.5007 34.6170 Å, 90.00 90.00 90.00°
With the nearest neighbours (Å) after each atom.
Space group Immm (No. 71)
Inequivalent atoms, fractional coordinates:
Pm (0.0000, 0.0000, 0.0910) (multiplicity 4)  3 Sc 3.11-3.19, 2 Pm 3.43
Pm (0.0000, 0.5000, 0.2311) (multiplicity 4)  4 Sc 3.26-3.50, 6 Pm 3.43-3.49
Dy (0.0000, 0.0000, 0.3642) (multiplicity 4)  2 Dy 3.43, 6 Pm 3.59-3.72, 6 Sc 3.60-3.61
Dy (0.0000, 0.5000, 0.5000) (multiplicity 2)  2 Dy 3.43, 8 Sc 3.58, 4 Pm 3.59
Sc (0.0000, 0.0000, 0.1808) (multiplicity 4)  3 Pm 3.11-3.26, 2 Sc 3.43
Sc (0.0000, 0.5000, 0.0442) (multiplicity 4)  1 Sc 3.06, 2 Pm 3.19

---

No. 12
Here is crystalline Ca2TaGe4Ir3 at its relaxed geometry from Alexandria via LeMat-Bulk. Energies are from PBE.

Values from the calculation:
Calculated density = 9.914 g/cm³
Energy of formation = -0.522 eV per atom
V = 189 Å³/cell
Magnetic moment = 0.000 μB/f.u.
Density of states at the Fermi level = 5.49 states/eV/f.u.

Cell: 4.1086 4.1086 11.1953 Å, 90.00 90.00 90.00°
With the nearest neighbours (Å) after each atom.
Space group P-4m2 (No. 115)
Inequivalent atoms, fractional coordinates:
Ca (0.0000, 0.5000, 0.2484) (multiplicity 2)  8 Ge 3.13-3.46, 6 Ir 3.21-3.49, 2 Ta 3.49
Ta (0.0000, 0.0000, 0.5000) (multiplicity 1)  4 Ge 2.64, 4 Ir 2.91
Ge (0.0000, 0.0000, 0.0000) (multiplicity 1)  4 Ir 2.50
Ge (0.0000, 0.5000, 0.6483) (multiplicity 2)  3 Ir 2.52-2.64, 2 Ta 2.64
Ge (0.5000, 0.5000, 0.0000) (multiplicity 1)  4 Ir 2.50
Ir (0.0000, 0.5000, 0.8734) (multiplicity 2)  5 Ge 2.50-2.52
Ir (0.5000, 0.5000, 0.5000) (multiplicity 1)  4 Ge 2.64, 4 Ta 2.91